# 1
# HfMnP2C, single point on PBEsol structure, DFT meta-GGA SCAN
data_HfMnP2C
_symmetry_space_group_name_H-M 'P 1'
_symmetry_Int_Tables_number 1
_cell_length_a 3.496
_cell_length_b 4.528
_cell_length_c 4.528
_cell_angle_alpha 90.00
_cell_angle_beta 90.00
_cell_angle_gamma 90.00
loop_
_symmetry_equiv_pos_as_xyz
'x,y,z'
loop_
_atom_site_label
_atom_site_fract_x
_atom_site_fract_y
_atom_site_fract_z
P1 0.000 0.000 0.500
P2 0.000 0.500 0.000
Hf1 0.500 0.500 0.500
Mn1 0.000 0.000 0.000
C1 0.500 0.000 0.000
# spin magnetization	1.6	μB per cell
# mass density	7.1	g cm⁻³
# space-group type	P4/mmm, No. 123
# calculated volume	71.7	Å³/f.u.
# formation energy from the elements	0.40	eV per atom

---

# 2
# LiYCd2, single point on PBEsol structure, DFT meta-GGA SCAN
data_LiYCd2
_symmetry_space_group_name_H-M 'P 1'
_symmetry_Int_Tables_number 1
_cell_length_a 3.375
_cell_length_b 5.081
_cell_length_c 5.270
_cell_angle_alpha 90.00
_cell_angle_beta 90.00
_cell_angle_gamma 90.00
loop_
_symmetry_equiv_pos_as_xyz
'x,y,z'
loop_
_atom_site_label
_atom_site_fract_x
_atom_site_fract_y
_atom_site_fract_z
Cd1 0.000 0.500 0.678
Cd2 0.000 0.000 0.057
Y1 0.500 0.500 0.171
Li1 0.500 0.000 0.594
# spin magnetization	0.0	μB per cell
# mass density	5.9	g cm⁻³
# space-group type	Pmm2, No. 25
# calculated volume	90.4	Å³/f.u.
# formation energy from the elements	-0.32	eV per atom

---

# 3
# NaSiAsBr2, single point on PBEsol structure, DFT meta-GGA SCAN
data_NaSiAsBr2
_symmetry_space_group_name_H-M 'P 1'
_symmetry_Int_Tables_number 1
_cell_length_a 4.799
_cell_length_b 5.277
_cell_length_c 5.277
_cell_angle_alpha 90.00
_cell_angle_beta 90.00
_cell_angle_gamma 90.00
loop_
_symmetry_equiv_pos_as_xyz
'x,y,z'
loop_
_atom_site_label
_atom_site_fract_x
_atom_site_fract_y
_atom_site_fract_z
Na1 0.500 0.500 0.500
Br1 0.000 0.000 0.500
Br2 0.000 0.500 0.000
As1 0.500 0.000 0.000
Si1 0.000 0.000 0.000
# spin magnetization	1.2	μB per cell
# mass density	3.6	g cm⁻³
# space-group type	P4/mmm, No. 123
# E_form (uncorrected)	-0.21	eV/atom
# calculated volume	133.6	Å³/f.u.

---

# 4
# GdSb, single point on PBEsol structure, DFT meta-GGA SCAN
data_GdSb
_symmetry_space_group_name_H-M 'P 1'
_symmetry_Int_Tables_number 1
_cell_length_a 4.342
_cell_length_b 4.342
_cell_length_c 4.342
_cell_angle_alpha 60.00
_cell_angle_beta 60.00
_cell_angle_gamma 60.00
loop_
_symmetry_equiv_pos_as_xyz
'x,y,z'
loop_
_atom_site_label
_atom_site_fract_x
_atom_site_fract_y
_atom_site_fract_z
Gd1 0.000 0.000 0.000
Sb1 0.500 0.500 0.500
# spin magnetization	7.0	μB per cell
# mass density	8.0	g cm⁻³
# space-group type	Fm-3m, No. 225
# E_form (uncorrected)	-1.20	eV/atom
# calculated volume	57.9	Å³/f.u.

---

# 5
# NaNiH3, single point on PBEsol structure, DFT meta-GGA SCAN
data_NaNiH3
_symmetry_space_group_name_H-M 'P 1'
_symmetry_Int_Tables_number 1
_cell_length_a 4.588
_cell_length_b 4.899
_cell_length_c 4.899
_cell_angle_alpha 120.01
_cell_angle_beta 90.35
_cell_angle_gamma 89.65
loop_
_symmetry_equiv_pos_as_xyz
'x,y,z'
loop_
_atom_site_label
_atom_site_fract_x
_atom_site_fract_y
_atom_site_fract_z
Ni1 0.500 0.000 0.000
Ni2 0.000 0.000 0.000
H1 0.749 0.277 0.139
H2 0.749 0.861 0.723
H3 0.251 0.723 0.861
H4 0.248 0.139 0.861
H5 0.251 0.139 0.277
H6 0.752 0.861 0.139
Na1 0.250 0.667 0.333
Na2 0.750 0.333 0.667
# spin magnetization	0.0	μB per cell
# mass density	3.0	g cm⁻³
# calculated total energy	-6.3800	eV per atom
# space-group type	C2/m, No. 12
# calculated volume	47.7	Å³/f.u.

---

# 6
# SrSiSb, single point on PBEsol structure, DFT meta-GGA SCAN
data_SrSiSb
_symmetry_space_group_name_H-M 'P 1'
_symmetry_Int_Tables_number 1
_cell_length_a 4.691
_cell_length_b 4.691
_cell_length_c 4.390
_cell_angle_alpha 90.00
_cell_angle_beta 90.00
_cell_angle_gamma 120.00
loop_
_symmetry_equiv_pos_as_xyz
'x,y,z'
loop_
_atom_site_label
_atom_site_fract_x
_atom_site_fract_y
_atom_site_fract_z
Sr1 0.667 0.333 0.333
Si1 0.333 0.667 0.834
Sb1 0.000 0.000 0.833
# spin magnetization	0.0	μB per cell
# mass density	4.7	g cm⁻³
# space-group type	P3m1, No. 156
# E_form (uncorrected)	-0.34	eV/atom
# calculated volume	83.7	Å³/f.u.

---

# 7
# Tl2Co, single point on PBEsol structure, DFT meta-GGA SCAN
data_Tl2Co
_symmetry_space_group_name_H-M 'P 1'
_symmetry_Int_Tables_number 1
_cell_length_a 3.014
_cell_length_b 4.517
_cell_length_c 4.517
_cell_angle_alpha 90.00
_cell_angle_beta 90.00
_cell_angle_gamma 90.00
loop_
_symmetry_equiv_pos_as_xyz
'x,y,z'
loop_
_atom_site_label
_atom_site_fract_x
_atom_site_fract_y
_atom_site_fract_z
Tl1 0.500 0.500 0.000
Tl2 0.500 0.000 0.500
Co1 0.000 0.000 0.000
# spin magnetization	1.4	μB per cell
# mass density	12.6	g cm⁻³
# space-group type	P4/mmm, No. 123
# calculated volume	61.5	Å³/f.u.
# formation energy from the elements	0.48	eV per atom

---

# 8
# Be4CrRh, single point on PBEsol structure, DFT meta-GGA SCAN
data_Be4CrRh
_symmetry_space_group_name_H-M 'P 1'
_symmetry_Int_Tables_number 1
_cell_length_a 4.285
_cell_length_b 4.285
_cell_length_c 4.285
_cell_angle_alpha 60.00
_cell_angle_beta 60.00
_cell_angle_gamma 60.00
loop_
_symmetry_equiv_pos_as_xyz
'x,y,z'
loop_
_atom_site_label
_atom_site_fract_x
_atom_site_fract_y
_atom_site_fract_z
Be1 0.875 0.375 0.375
Be2 0.375 0.375 0.375
Be3 0.375 0.875 0.375
Be4 0.375 0.375 0.875
Rh1 0.000 0.000 0.000
Cr1 0.750 0.750 0.750
# spin magnetization	3.0	μB per cell
# mass density	5.7	g cm⁻³
# space-group type	F-43m, No. 216
# calculated volume	55.6	Å³/f.u.
# formation energy from the elements	-0.49	eV per atom